Entry 1:
Compound: Y2Ni2B
Source: the Open Quantum Materials Database
Functional: PBE
Structure: optimized geometry

Calculated values
Calculated volume (Å³ per atom): 16.50
Uncorrected energy (eV/atom): -5.994
Size of the total moment (μB per cell): 0.067
Space group: I4/mmm, No. 139

Cell and atoms, written as POSCAR:
```
Y2Ni2B
1.0
3.427 0.000 0.000
0.000 3.427 0.000
0.000 0.000 14.045
Y Ni B
4 4 2
Cartesian
0.000 0.000 1.419 Y
0.000 0.000 12.626 Y
1.714 1.714 5.603 Y
1.714 1.714 8.442 Y
0.000 1.714 3.511 Ni
0.000 1.714 10.534 Ni
1.714 0.000 3.511 Ni
1.714 0.000 10.534 Ni
0.000 0.000 7.022 B
1.714 1.714 0.000 B
```

***

Entry 2:
Compound: YNi12B6
Source: the Open Quantum Materials Database
Functional: PBE
Structure: optimized geometry

Calculated values
Calculated volume (Å³ per atom): 10.15
Uncorrected energy (eV/atom): -6.357
Size of the total moment (μB per cell): 0.010
Space group: R-3m, No. 166

Cell and atoms, written as POSCAR:
```
YNi12B6
1.0
4.755 2.745 2.462
-4.755 2.745 2.462
0.000 -5.490 2.462
Y Ni B
1 12 6
Cartesian
0.000 0.000 0.000 Y
-1.756 -3.041 3.694 Ni
-3.512 0.000 3.694 Ni
-1.268 -0.732 2.692 Ni
1.268 -0.732 2.692 Ni
0.000 1.464 2.692 Ni
1.756 -3.041 3.694 Ni
-1.756 3.041 3.694 Ni
0.000 -1.464 4.696 Ni
-1.268 0.732 4.696 Ni
1.268 0.732 4.696 Ni
3.512 0.000 3.694 Ni
1.756 3.041 3.694 Ni
0.000 -2.380 2.805 B
-2.061 1.190 2.805 B
-2.061 -1.190 4.583 B
2.061 1.190 2.805 B
2.061 -1.190 4.583 B
0.000 2.380 4.583 B
```

***

Entry 3:
Compound: Y2NiB
Source: the Open Quantum Materials Database
Functional: PBE
Structure: optimized geometry

Calculated values
Calculated volume (Å³ per atom): 20.45
Uncorrected energy (eV/atom): -6.241
Size of the total moment (μB per cell): 0.033
Space group: P6_3/mmc, No. 194

Cell and atoms, written as POSCAR:
```
Y2NiB
1.0
3.669 0.000 0.000
-1.835 3.178 0.000
0.000 0.000 14.033
Y Ni B
4 2 2
Cartesian
0.000 2.118 1.590 Y
0.000 2.118 5.427 Y
1.835 1.059 8.606 Y
1.835 1.059 12.443 Y
0.000 2.118 10.525 Ni
1.835 1.059 3.508 Ni
0.000 0.000 0.000 B
0.000 0.000 7.016 B
```

***

Entry 4:
Compound: Y3Ni19B10
Source: the Open Quantum Materials Database
Functional: PBE
Structure: optimized geometry

Calculated values
Calculated volume (Å³ per atom): 10.40
Uncorrected energy (eV/atom): -6.426
Size of the total moment (μB per cell): 0.012
Space group: C2/m, No. 12

Cell and atoms, written as POSCAR:
```
Y3Ni19B10
1.0
6.591 -4.369 0.000
6.591 4.369 0.000
-0.141 0.000 5.778
Y Ni B
3 19 10
Cartesian
0.000 0.000 0.000 Y
4.850 0.000 3.545 Y
8.193 0.000 2.233 Y
-0.070 0.000 2.889 Ni
3.667 2.067 1.743 Ni
4.773 2.185 5.350 Ni
2.045 0.000 4.061 Ni
2.366 0.000 1.568 Ni
6.160 2.107 1.740 Ni
6.882 2.107 4.038 Ni
4.964 0.000 0.721 Ni
8.269 2.185 0.428 Ni
9.376 2.067 4.034 Ni
3.667 -2.067 1.743 Ni
4.773 -2.185 5.350 Ni
8.079 0.000 5.057 Ni
6.160 -2.107 1.740 Ni
6.882 -2.107 4.038 Ni
10.676 0.000 4.210 Ni
10.998 0.000 1.717 Ni
8.269 -2.185 0.428 Ni
9.376 -2.067 4.034 Ni
4.957 2.774 3.288 B
3.102 0.901 5.634 B
8.085 2.774 2.489 B
3.102 -0.901 5.634 B
6.591 1.014 0.000 B
6.591 -1.014 0.000 B
9.941 0.901 0.144 B
4.957 -2.774 3.288 B
9.941 -0.901 0.144 B
8.085 -2.774 2.489 B
```

***

Entry 5:
Compound: ZnNi2B
Source: the Open Quantum Materials Database
Functional: PBE
Structure: optimized geometry

Calculated values
Calculated volume (Å³ per atom): 10.26
Uncorrected energy (eV/atom): -4.484
Size of the total moment (μB per cell): 0.010
Space group: F-43m, No. 216

Cell and atoms, written as POSCAR:
```
ZnNi2B
1.0
5.476 0.000 0.000
0.000 5.476 0.000
0.000 0.000 5.476
Zn Ni B
4 8 4
Cartesian
0.000 0.000 0.000 Zn
0.000 2.738 2.738 Zn
2.738 0.000 2.738 Zn
2.738 2.738 0.000 Zn
0.000 0.000 2.738 Ni
0.000 2.738 0.000 Ni
1.369 1.369 4.107 Ni
1.369 4.107 1.369 Ni
2.738 0.000 0.000 Ni
2.738 2.738 2.738 Ni
4.107 1.369 1.369 Ni
4.107 4.107 4.107 Ni
1.369 1.369 1.369 B
1.369 4.107 4.107 B
4.107 1.369 4.107 B
4.107 4.107 1.369 B
```

***

Entry 6:
Compound: ZnNiB4
Source: the Open Quantum Materials Database
Functional: PBE
Structure: optimized geometry

Calculated values
Calculated volume (Å³ per atom): 8.61
Uncorrected energy (eV/atom): -5.341
Size of the total moment (μB per cell): 0.001
Space group: Immm, No. 71

Cell and atoms, written as POSCAR:
```
ZnNiB4
1.0
2.943 0.000 0.000
0.000 5.258 0.000
0.000 0.000 6.675
Zn Ni B
2 2 8
Cartesian
0.000 0.000 0.000 Zn
1.471 2.629 3.338 Zn
0.000 0.000 3.338 Ni
1.471 2.629 0.000 Ni
0.000 1.780 1.663 B
0.000 1.780 5.012 B
0.000 3.478 1.663 B
0.000 3.478 5.012 B
1.471 0.849 1.674 B
1.471 0.849 5.001 B
1.471 4.409 1.674 B
1.471 4.409 5.001 B
```

***

Entry 7:
Compound: Zn2Ni21B20
Source: the Open Quantum Materials Database
Functional: PBE
Structure: optimized geometry

Calculated values
Calculated volume (Å³ per atom): 8.61
Uncorrected energy (eV/atom): -6.150
Size of the total moment (μB per cell): 0.009
Space group: I4/mmm, No. 139

Cell and atoms, written as POSCAR:
```
Zn2Ni21B20
1.0
-3.599 3.599 7.144
3.599 -3.599 7.144
3.599 3.599 -7.144
Zn Ni B
2 21 20
Cartesian
0.000 0.000 2.713 Zn
0.000 0.000 11.575 Zn
0.000 0.000 0.000 Ni
1.799 1.799 -3.572 Ni
1.799 -1.799 3.572 Ni
2.158 0.000 1.440 Ni
5.040 0.000 1.440 Ni
3.599 -1.441 5.704 Ni
3.599 1.727 0.000 Ni
3.599 0.000 3.572 Ni
0.000 0.000 5.162 Ni
0.000 2.158 1.440 Ni
-1.799 1.799 3.572 Ni
1.727 3.599 0.000 Ni
1.799 1.799 3.572 Ni
1.872 0.000 7.144 Ni
3.599 1.441 5.704 Ni
0.000 0.000 9.125 Ni
0.000 3.599 3.572 Ni
0.000 1.872 7.144 Ni
0.000 5.040 1.440 Ni
-1.441 3.599 5.704 Ni
1.441 3.599 5.704 Ni
3.599 1.440 -2.199 B
2.112 2.112 -1.511 B
1.487 -1.487 5.633 B
1.456 1.456 0.000 B
2.143 -2.143 7.144 B
1.440 3.599 -2.199 B
2.159 0.000 4.945 B
3.599 1.440 2.199 B
2.112 2.112 1.511 B
1.487 -1.487 8.654 B
-1.487 1.487 5.633 B
1.487 1.487 5.633 B
0.000 2.159 4.945 B
1.440 3.599 2.199 B
2.159 0.000 9.343 B
-2.143 2.143 7.144 B
2.143 2.143 7.144 B
-1.487 1.487 8.654 B
1.487 1.487 8.654 B
0.000 2.159 9.343 B
```

***

Entry 8:
Compound: ZnNiB4
Source: the Open Quantum Materials Database
Functional: PBE
Structure: optimized geometry

Calculated values
Calculated volume (Å³ per atom): 8.62
Uncorrected energy (eV/atom): -5.349
Size of the total moment (μB per cell): 0.028
Space group: P6/mmm, No. 191

Cell and atoms, written as POSCAR:
```
ZnNiB4
1.0
2.996 0.000 0.000
-1.498 2.594 0.000
0.000 0.000 6.653
Zn Ni B
1 1 4
Cartesian
0.000 0.000 0.000 Zn
0.000 0.000 3.327 Ni
0.000 1.730 1.784 B
0.000 1.730 4.869 B
1.498 0.865 1.784 B
1.498 0.865 4.869 B
```

***

Entry 9:
Compound: ZnNi2B
Source: the Open Quantum Materials Database
Functional: PBE
Structure: optimized geometry

Calculated values
Calculated volume (Å³ per atom): 10.25
Uncorrected energy (eV/atom): -5.055
Size of the total moment (μB per cell): 0.031
Space group: C2/m, No. 12

Cell and atoms, written as POSCAR:
```
ZnNi2B
1.0
9.561 0.000 0.000
0.000 2.850 0.000
-0.313 0.000 6.018
Zn Ni B
4 8 4
Cartesian
1.104 0.000 2.814 Zn
3.364 1.425 3.203 Zn
5.884 1.425 2.814 Zn
8.144 0.000 3.203 Zn
0.127 1.425 4.832 Ni
2.138 1.425 0.984 Ni
2.329 0.000 5.034 Ni
4.341 0.000 1.186 Ni
4.907 0.000 4.832 Ni
6.919 0.000 0.984 Ni
7.110 1.425 5.034 Ni
9.122 1.425 1.186 Ni
0.883 0.000 0.300 B
3.584 1.425 5.717 B
5.664 1.425 0.300 B
8.365 0.000 5.717 B
```

***

Entry 10:
Compound: Zn3Ni20B6
Source: the Open Quantum Materials Database
Functional: PBE
Structure: optimized geometry

Calculated values
Calculated volume (Å³ per atom): 10.04
Uncorrected energy (eV/atom): -5.639
Size of the total moment (μB per cell): 0.020
Space group: Fm-3m, No. 225

Cell and atoms, written as POSCAR:
```
Zn3Ni20B6
1.0
0.000 5.261 5.261
5.261 0.000 5.261
5.261 5.261 0.000
Zn Ni B
3 20 6
Cartesian
0.000 0.000 0.000 Zn
2.631 2.631 2.631 Zn
7.892 7.892 7.892 Zn
1.779 1.779 0.000 Ni
3.483 3.483 0.000 Ni
1.779 0.000 1.779 Ni
5.261 3.483 1.779 Ni
3.483 0.000 3.483 Ni
5.261 1.779 3.483 Ni
6.488 4.034 4.034 Ni
0.000 1.779 1.779 Ni
3.483 5.261 1.779 Ni
3.483 1.779 5.261 Ni
4.034 4.034 4.034 Ni
6.488 6.488 4.034 Ni
6.488 4.034 6.488 Ni
4.034 6.488 4.034 Ni
4.034 4.034 6.488 Ni
6.488 6.488 6.488 Ni
0.000 3.483 3.483 Ni
1.779 5.261 3.483 Ni
1.779 3.483 5.261 Ni
4.034 6.488 6.488 Ni
5.261 5.261 2.890 B
5.261 2.890 5.261 B
7.632 5.261 5.261 B
2.890 5.261 5.261 B
5.261 7.632 5.261 B
5.261 5.261 7.632 B
```

***

Entry 11:
Compound: ZrNiB2
Source: the Open Quantum Materials Database
Functional: PBE
Structure: optimized geometry

Calculated values
Calculated volume (Å³ per atom): 11.38
Uncorrected energy (eV/atom): -6.334
Size of the total moment (μB per cell): 0.010
Space group: F-43m, No. 216

Cell and atoms, written as POSCAR:
```
ZrNiB2
1.0
5.668 0.000 0.000
0.000 5.668 0.000
0.000 0.000 5.668
Zr Ni B
4 4 8
Cartesian
0.000 0.000 0.000 Zr
0.000 2.834 2.834 Zr
2.834 0.000 2.834 Zr
2.834 2.834 0.000 Zr
1.417 1.417 1.417 Ni
1.417 4.251 4.251 Ni
4.251 1.417 4.251 Ni
4.251 4.251 1.417 Ni
0.000 0.000 2.834 B
0.000 2.834 0.000 B
1.417 1.417 4.251 B
1.417 4.251 1.417 B
2.834 0.000 0.000 B
2.834 2.834 2.834 B
4.251 1.417 1.417 B
4.251 4.251 4.251 B
```

***

Entry 12:
Compound: Zr2NiB6
Source: the Open Quantum Materials Database
Functional: PBE
Structure: optimized geometry

Calculated values
Calculated volume (Å³ per atom): 9.46
Uncorrected energy (eV/atom): -7.664
Size of the total moment (μB per cell): 0.002
Space group: Pbam, No. 55

Cell and atoms, written as POSCAR:
```
Zr2NiB6
1.0
8.899 0.000 0.000
0.000 11.249 0.000
0.000 0.000 3.401
Zr Ni B
8 4 24
Cartesian
0.499 1.473 0.000 Zr
1.562 4.645 0.000 Zr
2.888 10.270 0.000 Zr
3.951 7.098 0.000 Zr
4.948 4.151 0.000 Zr
6.011 0.980 0.000 Zr
7.337 6.604 0.000 Zr
8.400 9.776 0.000 Zr
1.254 7.618 0.000 Ni
3.196 1.993 0.000 Ni
5.703 9.256 0.000 Ni
7.645 3.632 0.000 Ni
0.159 3.257 1.701 B
0.455 6.348 1.701 B
0.929 10.940 1.701 B
1.191 9.211 1.701 B
1.811 2.690 1.701 B
2.228 0.902 1.701 B
2.222 6.527 1.701 B
2.639 8.315 1.701 B
3.259 3.586 1.701 B
3.520 5.316 1.701 B
3.994 0.724 1.701 B
4.291 8.882 1.701 B
4.609 2.367 1.701 B
4.905 10.525 1.701 B
5.379 5.934 1.701 B
5.641 7.663 1.701 B
6.261 2.934 1.701 B
6.677 4.722 1.701 B
6.671 10.347 1.701 B
7.088 8.559 1.701 B
7.708 2.039 1.701 B
7.970 0.309 1.701 B
8.444 4.901 1.701 B
8.740 7.992 1.701 B
```

***

Entry 13:
Compound: Zr2NiB
Source: the Open Quantum Materials Database
Functional: PBE
Structure: optimized geometry

Calculated values
Calculated volume (Å³ per atom): 15.29
Uncorrected energy (eV/atom): -6.734
Size of the total moment (μB per cell): 6.446
Space group: F-43m, No. 216

Cell and atoms, written as POSCAR:
```
Zr2NiB
1.0
6.254 0.000 0.000
0.000 6.254 0.000
0.000 0.000 6.254
Zr Ni B
8 4 4
Cartesian
0.000 0.000 0.000 Zr
0.000 3.127 3.127 Zr
1.564 1.564 1.564 Zr
1.564 4.691 4.691 Zr
3.127 0.000 3.127 Zr
3.127 3.127 0.000 Zr
4.691 1.564 4.691 Zr
4.691 4.691 1.564 Zr
1.564 1.564 4.691 Ni
1.564 4.691 1.564 Ni
4.691 1.564 1.564 Ni
4.691 4.691 4.691 Ni
0.000 0.000 3.127 B
0.000 3.127 0.000 B
3.127 0.000 0.000 B
3.127 3.127 3.127 B
```

***

Entry 14:
Compound: ZrNi2B
Source: the Open Quantum Materials Database
Functional: PBE
Structure: optimized geometry

Calculated values
Calculated volume (Å³ per atom): 12.46
Uncorrected energy (eV/atom): -6.692
Size of the total moment (μB per cell): 0.035
Space group: Amm2, No. 38

Cell and atoms, written as POSCAR:
```
ZrNi2B
1.0
2.935 0.000 0.000
0.000 3.106 0.000
0.000 0.000 10.940
Zr Ni B
2 4 2
Cartesian
0.000 0.000 0.000 Zr
0.000 1.553 5.470 Zr
0.000 0.000 7.865 Ni
0.000 1.553 2.394 Ni
1.467 0.000 3.901 Ni
1.467 1.553 9.371 Ni
1.467 0.000 1.972 B
1.467 1.553 7.442 B
```

***

Entry 15:
Compound: ZrNi2B
Source: the Open Quantum Materials Database
Functional: PBE
Structure: optimized geometry

Calculated values
Calculated volume (Å³ per atom): 12.37
Uncorrected energy (eV/atom): -6.620
Size of the total moment (μB per cell): 0.003
Space group: F-43m, No. 216

Cell and atoms, written as POSCAR:
```
ZrNi2B
1.0
5.828 0.000 0.000
0.000 5.828 0.000
0.000 0.000 5.828
Zr Ni B
4 8 4
Cartesian
0.000 0.000 0.000 Zr
0.000 2.914 2.914 Zr
2.914 0.000 2.914 Zr
2.914 2.914 0.000 Zr
0.000 0.000 2.914 Ni
0.000 2.914 0.000 Ni
1.457 1.457 4.371 Ni
1.457 4.371 1.457 Ni
2.914 0.000 0.000 Ni
2.914 2.914 2.914 Ni
4.371 1.457 1.457 Ni
4.371 4.371 4.371 Ni
1.457 1.457 1.457 B
1.457 4.371 4.371 B
4.371 1.457 4.371 B
4.371 4.371 1.457 B
```

***

Entry 16:
Compound: Zr2Ni21B6
Source: the Open Quantum Materials Database
Functional: PBE
Structure: optimized geometry

Calculated values
Calculated volume (Å³ per atom): 10.33
Uncorrected energy (eV/atom): -6.380
Size of the total moment (μB per cell): 0.117
Space group: Fm-3m, No. 225

Cell and atoms, written as POSCAR:
```
Zr2Ni21B6
1.0
0.000 5.311 5.311
5.311 0.000 5.311
5.311 5.311 0.000
Zr Ni B
2 21 6
Cartesian
2.656 2.656 2.656 Zr
7.967 7.967 7.967 Zr
0.000 0.000 0.000 Ni
1.799 1.799 0.000 Ni
3.513 3.513 0.000 Ni
1.799 0.000 1.799 Ni
5.311 3.513 1.799 Ni
3.513 0.000 3.513 Ni
5.311 1.799 3.513 Ni
6.520 4.103 4.103 Ni
0.000 1.799 1.799 Ni
3.513 5.311 1.799 Ni
3.513 1.799 5.311 Ni
4.103 4.103 4.103 Ni
6.520 6.520 4.103 Ni
6.520 4.103 6.520 Ni
4.103 6.520 4.103 Ni
4.103 4.103 6.520 Ni
6.520 6.520 6.520 Ni
0.000 3.513 3.513 Ni
1.799 5.311 3.513 Ni
1.799 3.513 5.311 Ni
4.103 6.520 6.520 Ni
5.311 5.311 2.854 B
5.311 2.854 5.311 B
7.769 5.311 5.311 B
2.854 5.311 5.311 B
5.311 7.769 5.311 B
5.311 5.311 7.769 B
```

***

Entry 17:
Compound: Zr2NiB2
Source: the Open Quantum Materials Database
Functional: PBE
Structure: optimized geometry

Calculated values
Calculated volume (Å³ per atom): 12.88
Uncorrected energy (eV/atom): -7.869
Size of the total moment (μB per cell): 0.013
Space group: Cmmm, No. 65

Cell and atoms, written as POSCAR:
```
Zr2NiB2
1.0
3.174 0.000 0.000
0.000 11.476 0.000
0.000 0.000 3.535
Zr Ni B
4 2 4
Cartesian
0.000 1.540 0.000 Zr
0.000 9.936 0.000 Zr
1.587 4.198 0.000 Zr
1.587 7.278 0.000 Zr
0.000 5.738 1.768 Ni
1.587 0.000 1.768 Ni
0.000 3.325 1.768 B
0.000 8.151 1.768 B
1.587 2.413 1.768 B
1.587 9.063 1.768 B
```

***

Entry 18:
Compound: Zr2NiB
Source: the Open Quantum Materials Database
Functional: PBE
Structure: optimized geometry

Calculated values
Calculated volume (Å³ per atom): 16.57
Uncorrected energy (eV/atom): -7.599
Size of the total moment (μB per cell): 0.006
Space group: P6_3/mmc, No. 194

Cell and atoms, written as POSCAR:
```
Zr2NiB
1.0
3.475 0.000 0.000
-1.738 3.009 0.000
0.000 0.000 12.673
Zr Ni B
4 2 2
Cartesian
0.000 2.006 1.330 Zr
0.000 2.006 5.006 Zr
1.738 1.003 7.667 Zr
1.738 1.003 11.342 Zr
0.000 2.006 9.505 Ni
1.738 1.003 3.168 Ni
0.000 0.000 0.000 B
0.000 0.000 6.336 B
```